Material: KCr2Mo
Method: DFT, PBE
State: relaxed

```
data_KCr2Mo
_chemical_formula_sum 'K1 Cr2 Mo1'
_cell_length_a 2.7862
_cell_length_b 4.1496
_cell_length_c 7.3608
_cell_angle_alpha 90.00
_cell_angle_beta 93.52
_cell_angle_gamma 90.00
_space_group_name_H-M_alt 'P 1 2/m 1'
_space_group_IT_number 10
_space_group_name_Hall '-P 2y'
loop_
_atom_site_label
_atom_site_type_symbol
_atom_site_fract_x
_atom_site_fract_y
_atom_site_fract_z
K1 K 0.0000 0.0000 0.0000
Cr1 Cr 0.1476 0.5000 0.6287
Mo1 Mo 0.5000 0.0000 0.5000
```

Computed properties:
Mass density: 4.673 g/cm³
Magnetic moment: 0.0 μB per cell
Energy of formation: 0.855 eV per atom
Fermi-level density of states: 3.8 states/eV per cell
Relative energy among the computed polymorphs: 0.0637 eV/atom

---

Material: LuU6
Method: DFT, PBE
State: relaxed

```
data_LuU6
_chemical_formula_sum 'Lu2 U12'
_cell_length_a 7.1064
_cell_length_b 7.1064
_cell_length_c 7.1064
_cell_angle_alpha 90.00
_cell_angle_beta 90.00
_cell_angle_gamma 90.00
_space_group_name_H-M_alt 'I m -3 m'
_space_group_IT_number 229
_space_group_name_Hall '-I 4 2 3'
loop_
_atom_site_label
_atom_site_type_symbol
_atom_site_fract_x
_atom_site_fract_y
_atom_site_fract_z
Lu1 Lu 0.0000 0.0000 0.0000
U1 U 0.0000 0.2500 0.5000
```

Computed properties:
Mass density: 14.835 g/cm³
Magnetic moment: 0.0 μB per cell
Energy of formation: 0.840 eV per atom
Fermi-level density of states: 51.8 states/eV per cell

---

Material: AlMoW2
Method: DFT, PBE
State: relaxed

```
data_AlMoW2
_chemical_formula_sum 'Al1 Mo1 W2'
_cell_length_a 3.2533
_cell_length_b 4.3751
_cell_length_c 4.4078
_cell_angle_alpha 90.00
_cell_angle_beta 90.00
_cell_angle_gamma 90.00
_space_group_name_H-M_alt 'P m m m'
_space_group_IT_number 47
_space_group_name_Hall '-P 2 2'
loop_
_atom_site_label
_atom_site_type_symbol
_atom_site_fract_x
_atom_site_fract_y
_atom_site_fract_z
Al1 Al 0.0000 0.0000 0.0000
Mo1 Mo 0.5000 0.5000 0.0000
W1 W 0.0000 0.5000 0.5000
W2 W 0.5000 0.0000 0.5000
```

Computed properties:
Mass density: 12.985 g/cm³
Magnetic moment: 0.0 μB per cell
Energy of formation: 0.069 eV per atom
Fermi-level density of states: 3.9 states/eV per cell

---

Among the records above, which one has the highest Fermi-level density of states?
LuU6